[1]
A plane-wave DFT calculation with PBE was carried out for a geometry-optimized ThGaFe structure.

Computed properties:
The formation energy comes out at -7.1 kJ/mol of atoms.

Cell lengths 3.2682, 3.2682, 5.9298 Å; angles 106.00, 106.00, 90.00 degrees
Fractional positions:
1 Ga 0.7039 0.7039 0.4078
2 Fe 0.3072 0.3072 0.6144
3 Th 0.9889 0.9889 0.9778

***

[2]
A plane-wave DFT calculation with PBE was carried out for a geometry-optimized ThGa6Fe6 structure.

Computed properties:
The formation energy comes out at -26.8 kJ/mol of atoms.

Cell lengths 5.0464, 6.6201, 6.6201 Å; angles 80.75, 67.60, 67.60 degrees
Fractional positions:
1 Fe 0.0000 0.0000 0.5000
2 Fe 0.5000 0.2398 0.7602
3 Fe 0.5000 0.0000 0.5000
4 Fe 0.0000 0.5000 0.0000
5 Fe 0.5000 0.7602 0.2398
6 Fe 0.5000 0.5000 0.0000
7 Th 0.0000 0.0000 0.0000
8 Ga 0.6959 0.8041 0.8041
9 Ga 0.3493 0.6507 0.6507
10 Ga 0.0000 0.3437 0.6563
11 Ga 0.0000 0.6563 0.3437
12 Ga 0.3041 0.1959 0.1959
13 Ga 0.6507 0.3493 0.3493

***

[3]
A plane-wave DFT calculation with PBE was carried out for a geometry-optimized Th3GaFe structure.

Computed properties:
For the polymorph energy (0 for the lowest one), the calculation gives 31 meV per atom. The formation energy comes out at -10.7 kJ/mol of atoms.

Cell lengths 5.1753, 5.1753, 5.1753 Å; angles 90.00, 90.00, 90.00 degrees
Fractional positions:
1 Th 0.5000 0.0000 0.0000
2 Th 0.0000 0.5000 0.0000
3 Th 0.0000 0.0000 0.5000
4 Ga 0.5000 0.5000 0.5000
5 Fe 0.0000 0.0000 0.0000

***

[4]
A plane-wave DFT calculation with PBE was carried out for a geometry-optimized Th3Ga9Fe2 structure.

Computed properties:
The formation energy comes out at -39.6 kJ/mol of atoms.

Cell lengths 4.3227, 8.2201, 8.2201 Å; angles 73.92, 74.76, 74.76 degrees
Fractional positions:
1 Th 0.0000 0.0000 0.0000
2 Th 0.6812 0.3188 0.3188
3 Th 0.3188 0.6812 0.6812
4 Ga 0.6613 0.7028 0.9746
5 Ga 0.8775 0.8422 0.4028
6 Ga 0.3387 0.2972 0.0254
7 Ga 0.1225 0.1578 0.5972
8 Ga 0.3387 0.0254 0.2972
9 Ga 0.1225 0.5972 0.1578
10 Ga 0.8775 0.4028 0.8422
11 Ga 0.0000 0.5000 0.5000
12 Ga 0.6613 0.9746 0.7028
13 Fe 0.5000 0.2888 0.7112
14 Fe 0.5000 0.7112 0.2888

***

[5]
A plane-wave DFT calculation with PBE was carried out for a geometry-optimized ThGa2Fe9 structure.

Computed properties:
The formation energy comes out at -7.0 kJ/mol of atoms.

Cell lengths 4.8739, 8.1794, 8.1794 Å; angles 90.00, 90.00, 90.00 degrees
Fractional positions:
1 Fe 0.5000 0.7151 0.5682
2 Fe 0.7608 0.6760 0.8240
3 Fe 0.2392 0.8240 0.3240
4 Fe 0.5000 0.2849 0.4318
5 Fe 0.5000 0.4318 0.7151
6 Fe 0.2392 0.3240 0.1760
7 Fe 0.5000 0.5000 0.0000
8 Fe 0.5000 0.0000 0.5000
9 Fe 0.5000 0.9318 0.7849
10 Fe 0.2392 0.1760 0.6760
11 Fe 0.5000 0.5682 0.2849
12 Fe 0.5000 0.2151 0.9318
13 Fe 0.7608 0.8240 0.3240
14 Fe 0.7608 0.1760 0.6760
15 Fe 0.5000 0.7849 0.0682
16 Fe 0.2392 0.6760 0.8240
17 Fe 0.5000 0.0682 0.2151
18 Fe 0.7608 0.3240 0.1760
19 Ga 0.0000 0.6201 0.1201
20 Ga 0.0000 0.3799 0.8799
21 Ga 0.0000 0.8799 0.6201
22 Ga 0.0000 0.1201 0.3799
23 Th 0.0000 0.5000 0.5000
24 Th 0.0000 0.0000 0.0000

***

[6]
A plane-wave DFT calculation with PBE was carried out for a geometry-optimized ThGaFe structure.

Computed properties:
The formation energy comes out at -21.8 kJ/mol of atoms.

Cell lengths 3.8659, 4.2787, 4.2787 Å; angles 120.00, 90.00, 90.00 degrees
Fractional positions:
1 Th 0.6669 0.6667 0.3333
2 Fe 0.1663 0.3333 0.6667
3 Ga 0.1668 0.0000 0.0000

***

| no. | magnetization (μB per atom) |
| --- | --- |
| 1 | 0.625 |
| 2 | 0.828 |
| 3 | 0.000 |
| 4 | 0.205 |
| 5 | 1.431 |
| 6 | 0.342 |